Entry 1:
Material: U2Se2Br3
Method: DFT, GGA-PBE
State: optimized geometry

a = 4.058 Å, b = 4.050 Å, c = 14.876 Å
α = 90.00°, β = 97.68°, γ = 90.00°
Fractional positions:
U1 0.095 0.000 0.196
U2 0.905 0.000 0.804
Se1 0.412 0.500 0.818
Se2 0.588 0.500 0.182
Br1 0.000 0.000 0.000
Br2 0.184 0.000 0.375
Br3 0.816 0.000 0.625

Summary:
- uncorrected formation energy (eV/atom) = -1.124

Entry 2:
Material: LiSc2CuSe4
Method: DFT, GGA-PBE
State: optimized geometry

a = 6.689 Å, b = 3.860 Å, c = 6.693 Å
α = 90.00°, β = 110.45°, γ = 90.00°
Fractional positions:
Li1 0.000 0.000 0.000
Sc1 0.500 0.000 0.500
Sc2 0.500 0.500 0.000
Cu1 0.000 0.500 0.500
Se1 0.246 0.000 0.742
Se2 0.253 0.500 0.249
Se3 0.747 0.500 0.751
Se4 0.754 0.000 0.258

Summary:
- uncorrected formation energy (eV/atom) = -1.281

Entry 3:
Material: KHg3P
Method: DFT, GGA-PBE
State: optimized geometry

a = 6.008 Å, b = 6.977 Å, c = 7.276 Å
α = 96.24°, β = 96.30°, γ = 91.64°
Fractional positions:
K1 0.000 0.000 0.000
K2 0.042 0.541 0.447
Hg1 0.250 0.048 0.470
Hg2 0.470 0.799 0.774
Hg3 0.500 0.301 0.217
Hg4 0.532 0.747 0.209
Hg5 0.731 0.439 0.849
Hg6 0.764 0.070 0.524
P1 0.138 0.530 0.945
P2 0.333 0.304 0.817

Summary:
- DFT formation energy (eV/f.u.) = -0.7

Entry 4:
Material: Al2HgAu8
Method: DFT, GGA-PBE
State: optimized geometry

a = 8.544 Å, b = 8.544 Å, c = 6.885 Å
α = 107.95°, β = 107.95°, γ = 25.05°
Fractional positions:
Al1 0.204 0.204 0.165
Al2 0.796 0.796 0.835
Hg1 0.500 0.500 0.500
Au1 0.051 0.051 0.227
Au2 0.177 0.177 0.768
Au3 0.320 0.320 0.560
Au4 0.410 0.410 0.058
Au5 0.590 0.590 0.942
Au6 0.680 0.680 0.440
Au7 0.823 0.823 0.232
Au8 0.949 0.949 0.773

Summary:
- DFT formation energy (eV/f.u.) = -1.7

Entry 5:
Material: ZrSc2Co
Method: DFT, GGA-PBE
State: optimized geometry

a = 3.462 Å, b = 4.670 Å, c = 4.724 Å
α = 90.00°, β = 90.00°, γ = 90.00°
Fractional positions:
Zr1 0.000 0.000 0.000
Sc1 0.000 0.500 0.500
Sc2 0.500 0.000 0.500
Co1 0.500 0.500 0.000

Summary:
- DFT formation energy (eV/f.u.) = 0.3

Entry 6:
Material: CoMo2As
Method: DFT, GGA-PBE
State: optimized geometry

a = 6.445 Å, b = 6.445 Å, c = 6.445 Å
α = 128.09°, β = 128.09°, γ = 76.48°
Fractional positions:
Co1 0.000 0.000 0.000
Co2 0.750 0.250 0.500
Mo1 0.092 0.625 0.967
Mo2 0.375 0.342 0.467
Mo3 0.658 0.125 0.033
Mo4 0.875 0.908 0.533
As1 0.250 0.750 0.500
As2 0.500 0.500 0.000

Summary:
- DFT formation energy (eV/f.u.) = 3.6

Entry 7:
Material: CaPt3
Method: DFT, GGA-PBE
State: optimized geometry

a = 5.599 Å, b = 5.599 Å, c = 4.797 Å
α = 90.00°, β = 90.00°, γ = 94.09°
Fractional positions:
Ca1 0.087 0.913 0.750
Ca2 0.913 0.087 0.250
Pt1 0.090 0.567 0.250
Pt2 0.424 0.576 0.750
Pt3 0.433 0.910 0.250
Pt4 0.567 0.090 0.750
Pt5 0.576 0.424 0.250
Pt6 0.910 0.433 0.750

Summary:
- DFT formation energy (eV/f.u.) = -1.0

Entry 8:
Material: Ce4MnOs
Method: DFT, GGA-PBE
State: optimized geometry

a = 7.998 Å, b = 7.998 Å, c = 5.866 Å
α = 108.01°, β = 108.01°, γ = 115.06°
Fractional positions:
Ce1 0.055 0.685 0.904
Ce2 0.221 0.356 0.691
Ce3 0.315 0.945 0.596
Ce4 0.356 0.221 0.191
Ce5 0.644 0.779 0.809
Ce6 0.685 0.055 0.404
Ce7 0.779 0.644 0.309
Ce8 0.945 0.315 0.096
Mn1 0.012 0.988 0.750
Mn2 0.988 0.012 0.250
Os1 0.374 0.626 0.250
Os2 0.626 0.374 0.750

Summary:
- DFT formation energy (eV/f.u.) = -0.3

Entry 9:
Material: LiBeW2
Method: DFT, GGA-PBE
State: optimized geometry

a = 2.663 Å, b = 2.663 Å, c = 8.369 Å
α = 90.00°, β = 90.00°, γ = 105.57°
Fractional positions:
Li1 0.000 0.000 0.000
Be1 0.500 0.500 0.230
W1 0.000 0.000 0.451
W2 0.500 0.500 0.725

Summary:
- DFT formation energy (eV/f.u.) = 1.2

Entry 10:
Material: Sm2CdGe4Rh3
Method: DFT, GGA-PBE
State: optimized geometry

a = 4.295 Å, b = 4.295 Å, c = 10.392 Å
α = 90.00°, β = 90.00°, γ = 90.00°
Fractional positions:
Sm1 0.000 0.500 0.234
Sm2 0.500 0.000 0.766
Cd1 0.000 0.000 0.500
Ge1 0.000 0.000 0.000
Ge2 0.000 0.500 0.649
Ge3 0.500 0.000 0.351
Ge4 0.500 0.500 0.000
Rh1 0.000 0.500 0.881
Rh2 0.500 0.000 0.119
Rh3 0.500 0.500 0.500

Summary:
- DFT formation energy (eV/f.u.) = -7.0

Entry 11:
Material: CsRb2AsPt
Method: DFT, GGA-PBE
State: optimized geometry

a = 6.354 Å, b = 6.354 Å, c = 6.057 Å
α = 90.00°, β = 90.00°, γ = 90.00°
Fractional positions:
Cs1 0.000 0.000 0.000
Rb1 0.000 0.500 0.500
Rb2 0.500 0.000 0.500
As1 0.500 0.500 0.000
Pt1 0.000 0.000 0.500

Summary:
- DFT formation energy (eV/f.u.) = 1.3

Entry 12:
Material: Hg2Ir
Method: DFT, GGA-PBE
State: optimized geometry

a = 5.434 Å, b = 5.434 Å, c = 10.376 Å
α = 90.00°, β = 90.00°, γ = 120.00°
Fractional positions:
Hg1 0.000 0.000 0.000
Hg2 0.000 0.000 0.500
Hg3 0.167 0.333 0.250
Hg4 0.167 0.833 0.250
Hg5 0.333 0.167 0.750
Hg6 0.667 0.833 0.250
Hg7 0.833 0.167 0.750
Hg8 0.833 0.667 0.750
Ir1 0.333 0.667 0.022
Ir2 0.333 0.667 0.478
Ir3 0.667 0.333 0.522
Ir4 0.667 0.333 0.978

Summary:
- DFT formation energy (eV/f.u.) = 2.9

Looking at magnetic moment for the records above, in order, we have 4.7; 0.0; 0.0; 0.0; 0.0; 0.0; 0.0; 0.0; 0.0; 0.0; 1.7; 0.0 μB per cell.